! Pb3CI | the Alexandria database | GGA-PBE | optimized geometry; values from VASP
! crystal system = cubic
! formation energy without anion corrections = 81 kJ/mol of atoms
! distance to the lowest polymorph of the same formula = 0.000 eV per atom
&SYSTEM
  ibrav = 0, nat = 5, ntyp = 3
/
ATOMIC_SPECIES
Pb 207.20 Pb.upf
C 12.01 C.upf
I 126.90 I.upf
ATOMIC_POSITIONS angstrom
Pb 0.000 0.000 2.637
Pb 0.000 2.637 0.000
Pb 2.637 0.000 0.000
C 0.000 0.000 0.000
I 2.637 2.637 2.637
CELL_PARAMETERS angstrom
5.274 0.000 0.000
0.000 5.274 0.000
0.000 0.000 5.274